Record 1
This record from the Alexandria database describes a relaxed MnVCo crystal. The functional is PBE.

a = 4.714 Å, b = 4.714 Å, c = 4.714 Å
α = 143.86°, β = 143.86°, γ = 52.03°
Fractional coordinates of all 3 atoms:
Mn  0.000  0.000  0.000
V  0.665  0.665  0.000
Co  0.329  0.329  0.000

Results
Formation enthalpy at 0 K = -90 meV/atom
E above lowest polymorph = 0.000 eV per atom
Space group = I4mm

***

Record 2
This record from the Alexandria database describes a relaxed Cs3NiH4 crystal. The functional is PBE.

a = 6.540 Å, b = 6.540 Å, c = 6.540 Å
α = 121.19°, β = 86.97°, γ = 122.34°
Fractional coordinates of all 8 atoms:
Cs  0.000  0.000  0.000
Cs  0.246  0.496  0.750
Cs  0.745  0.496  0.250
Ni  0.553  0.053  0.500
H  0.342  0.008  0.334
H  0.614  0.352  0.739
H  0.614  0.875  0.261
H  0.673  0.008  0.666

Results
Calculated total energy = -2.768 eV/atom
Space group = Imm2

***

Record 3
This record from the Alexandria database describes a relaxed SrAcSnHg crystal. The functional is PBE.

a = 5.739 Å, b = 5.739 Å, c = 5.739 Å
α = 60.00°, β = 60.00°, γ = 60.00°
Fractional coordinates of all 4 atoms:
Sr  0.000  0.000  0.000
Ac  0.500  0.500  0.500
Sn  0.250  0.250  0.250
Hg  0.750  0.750  0.750

Results
Formation enthalpy at 0 K = -590 meV/atom
Space group = F-43m